# 1
Density functional theory data (PBE) for a relaxed structure of La3PuAl8.

Unit cell a=5.6952 b=5.6952 c=27.9196 alpha=90.00 beta=90.00 gamma=120.00
Last column: nearest neighbours and their distance in Å.
Space group R3m (No. 160, hexagonal axes)
Unique sites:
La 0.0000 0.0000 0.0000 [3 per cell]  12 Al 3.28-3.36, 3 Pu 3.47, 1 La 3.54
La 0.0000 0.0000 0.1269 [3 per cell]  12 Al 3.34-3.36, 4 La 3.51-3.54
La 0.0000 0.0000 0.5046 [3 per cell]  12 Al 3.31-3.43, 1 Pu 3.41, 3 La 3.51
Pu 0.0000 0.0000 0.6268 [3 per cell]  12 Al 3.32-3.34, 4 La 3.41-3.47
Al 0.0000 0.0000 0.3140 [3 per cell]  6 Al 2.82-2.84
Al 0.0000 0.0000 0.8145 [3 per cell]  6 Al 2.87
Al 0.1672 0.3343 0.8986 [9 per cell]  6 Al 2.82-2.87
Al 0.1673 0.3347 0.3969 [9 per cell]  6 Al 2.84-2.87

Calculated values
ΔE_f   -0.451 eV/atom


# 2
Density functional theory data (PBE) for a relaxed structure of LaPu2Al9.

Unit cell a=5.5822 b=5.5822 c=26.5734 alpha=90.00 beta=90.00 gamma=120.00
Last column: nearest neighbours and their distance in Å.
Space group R-3m (No. 166, hexagonal axes)
Unique sites:
La 0.0000 0.0000 0.0000 [3 per cell]  18 Al 3.22-3.57
Pu 0.0000 0.0000 0.1435 [6 per cell]  12 Al 3.21-3.28, 3 Pu 3.45
Al 0.0000 0.0000 0.3349 [6 per cell]  6 Al 2.73-2.76
Al 0.0000 0.0000 0.5000 [3 per cell]  6 Al 2.75
Al 0.0064 0.5032 0.9163 [18 per cell]  7 Al 2.73-2.84

Calculated values
ΔE_f   -0.322 eV/atom


# 3
Density functional theory data (PBE) for a relaxed structure of La2PuAl.

Unit cell a=3.7302 b=3.7302 c=8.6292 alpha=90.00 beta=90.00 gamma=90.00
Last column: nearest neighbours and their distance in Å.
Space group P4/mmm (No. 123)
Unique sites:
La 0.0000 0.0000 0.2207 [2 per cell]  4 Al 3.25, 4 Pu 3.57
Pu 0.5000 0.5000 0.5000 [1 per cell]  8 La 3.57, 4 Pu 3.73
Al 0.5000 0.5000 0.0000 [1 per cell]  8 La 3.25

Calculated values
Energy above the lowest structure with this stoichiometry   1.2 kJ per mole of atoms
ΔE_f   -0.062 eV/atom